This record from Alexandria describes a geometry-optimized MgCdHg5 structure. The functional is PBE.

Geometry as CIF:
```
data_MgCdHg5
_symmetry_space_group_name_H-M 'C 1 2/c 1'
_symmetry_Int_Tables_number 15
_cell_length_a 10.891
_cell_length_b 12.945
_cell_length_c 6.434
_cell_angle_alpha 90.00
_cell_angle_beta 125.79
_cell_angle_gamma 90.00
loop_
_symmetry_equiv_pos_as_xyz
'x,y,z'
'-x,-y,-z'
'-x,y,-z+1/2'
'x,-y,z+1/2'
'x+1/2,y+1/2,z'
'-x+1/2,-y+1/2,-z'
'-x+1/2,y+1/2,-z+1/2'
'x+1/2,-y+1/2,z+1/2'
loop_
_atom_site_label
_atom_site_type_symbol
_atom_site_fract_x
_atom_site_fract_y
_atom_site_fract_z
Mg1 Mg 0.000 0.006 0.250
Cd1 Cd 0.000 0.500 0.000
Hg1 Hg 0.000 0.297 0.250
Hg2 Hg 0.203 0.136 0.716
Hg3 Hg 0.206 0.135 0.192
```

Output
M_tot (μB per formula unit): 0.00
E_form (eV/atom): -0.0189
D(E_F) (states/eV/cell): 10.06



This record from Alexandria describes a geometry-optimized MgCd2Hg structure. The functional is PBE.

Geometry as CIF:
```
data_MgCd2Hg
_symmetry_space_group_name_H-M 'F -4 3 m'
_symmetry_Int_Tables_number 216
_symmetry_space_group_name_Hall 'F -4 2 3'
_cell_length_a 7.102
_cell_length_b 7.102
_cell_length_c 7.102
_cell_angle_alpha 90.00
_cell_angle_beta 90.00
_cell_angle_gamma 90.00
loop_
_atom_site_label
_atom_site_type_symbol
_atom_site_fract_x
_atom_site_fract_y
_atom_site_fract_z
Mg1 Mg 0.000 0.000 0.000
Cd1 Cd 0.000 0.000 0.500
Cd2 Cd 0.250 0.250 0.750
Hg1 Hg 0.250 0.250 0.250
```

Output
M_tot (μB per formula unit): 0.00
E_form (eV/atom): -0.0437
D(E_F) (states/eV/cell): 7.66
Excess energy over the best structure of this formula in the dataset (eV per atom): 0.036



This record from Alexandria describes a geometry-optimized Mg2CdHg structure. The functional is PBE.

Geometry as CIF:
```
data_Mg2CdHg
_symmetry_space_group_name_H-M 'P 1 2/m 1'
_symmetry_Int_Tables_number 10
_cell_length_a 3.381
_cell_length_b 3.677
_cell_length_c 6.910
_cell_angle_alpha 90.00
_cell_angle_beta 90.84
_cell_angle_gamma 90.00
loop_
_symmetry_equiv_pos_as_xyz
'x,y,z'
'-x,-y,-z'
'-x,y,-z'
'x,-y,z'
loop_
_atom_site_label
_atom_site_type_symbol
_atom_site_fract_x
_atom_site_fract_y
_atom_site_fract_z
Mg1 Mg 0.002 0.000 0.244
Cd1 Cd 0.500 0.500 0.500
Hg1 Hg 0.500 0.500 0.000
```

Output
M_tot (μB per formula unit): 0.00
E_form (eV/atom): -0.1667
D(E_F) (states/eV/cell): 1.12
Excess energy over the best structure of this formula in the dataset (eV per atom): 0.000



This record from Alexandria describes a geometry-optimized Mg2CdHg structure. The functional is PBE.

Geometry as CIF:
```
data_Mg2CdHg
_symmetry_space_group_name_H-M 'C 1 m 1'
_symmetry_Int_Tables_number 8
_cell_length_a 10.287
_cell_length_b 3.465
_cell_length_c 5.031
_cell_angle_alpha 90.00
_cell_angle_beta 100.62
_cell_angle_gamma 90.00
loop_
_symmetry_equiv_pos_as_xyz
'x,y,z'
'x,-y,z'
'x+1/2,y+1/2,z'
'x+1/2,-y+1/2,z'
loop_
_atom_site_label
_atom_site_type_symbol
_atom_site_fract_x
_atom_site_fract_y
_atom_site_fract_z
Mg1 Mg 0.000 0.000 0.000
Mg2 Mg 0.247 0.000 0.692
Cd1 Cd 0.245 0.500 0.186
Hg1 Hg 0.004 0.500 0.510
```

Output
M_tot (μB per formula unit): 0.00
E_form (eV/atom): -0.1228
D(E_F) (states/eV/cell): 3.27
Excess energy over the best structure of this formula in the dataset (eV per atom): 0.044



This record from Alexandria describes a geometry-optimized MgCd4Hg2 structure. The functional is PBE.

Geometry as CIF:
```
data_MgCd4Hg2
_symmetry_space_group_name_H-M 'F m m m'
_symmetry_Int_Tables_number 69
_symmetry_space_group_name_Hall '-F 2 2'
_cell_length_a 8.397
_cell_length_b 8.953
_cell_length_c 9.070
_cell_angle_alpha 90.00
_cell_angle_beta 90.00
_cell_angle_gamma 90.00
loop_
_atom_site_label
_atom_site_type_symbol
_atom_site_fract_x
_atom_site_fract_y
_atom_site_fract_z
Mg1 Mg 0.000 0.000 0.000
Cd1 Cd 0.000 0.250 0.250
Cd2 Cd 0.250 0.000 0.250
Hg1 Hg 0.250 0.250 0.000
```

Output
M_tot (μB per formula unit): 0.00
E_form (eV/atom): -0.0182
D(E_F) (states/eV/cell): 9.96
Excess energy over the best structure of this formula in the dataset (eV per atom): 0.018



This record from Alexandria describes a geometry-optimized Mg4CdHg7 structure. The functional is PBE.

Geometry as CIF:
```
data_Mg4CdHg7
_symmetry_space_group_name_H-M 'C 1 2/m 1'
_symmetry_Int_Tables_number 12
_cell_length_a 12.499
_cell_length_b 5.410
_cell_length_c 10.321
_cell_angle_alpha 90.00
_cell_angle_beta 122.52
_cell_angle_gamma 90.00
loop_
_symmetry_equiv_pos_as_xyz
'x,y,z'
'-x,-y,-z'
'-x,y,-z'
'x,-y,z'
'x+1/2,y+1/2,z'
'-x+1/2,-y+1/2,-z'
'-x+1/2,y+1/2,-z'
'x+1/2,-y+1/2,z'
loop_
_atom_site_label
_atom_site_type_symbol
_atom_site_fract_x
_atom_site_fract_y
_atom_site_fract_z
Mg1 Mg 0.075 0.000 0.271
Mg2 Mg 0.224 0.000 0.815
Cd1 Cd 0.000 0.500 0.500
Hg1 Hg 0.000 0.000 0.500
Hg2 Hg 0.064 0.500 0.858
Hg3 Hg 0.154 0.000 0.057
Hg4 Hg 0.203 0.500 0.412
```

Output
M_tot (μB per formula unit): 0.00
E_form (eV/atom): -0.0706
D(E_F) (states/eV/cell): 7.30
Excess energy over the best structure of this formula in the dataset (eV per atom): 0.043



This record from Alexandria describes a geometry-optimized Mg7Cd2Hg2 structure. The functional is PBE.

Geometry as CIF:
```
data_Mg7Cd2Hg2
_symmetry_space_group_name_H-M 'I m m 2'
_symmetry_Int_Tables_number 44
_cell_length_a 3.683
_cell_length_b 14.668
_cell_length_c 9.402
_cell_angle_alpha 90.00
_cell_angle_beta 90.00
_cell_angle_gamma 90.00
loop_
_symmetry_equiv_pos_as_xyz
'x,y,z'
'-x,-y,z'
'-x,y,z'
'x,-y,z'
'x+1/2,y+1/2,z+1/2'
'-x+1/2,-y+1/2,z+1/2'
'-x+1/2,y+1/2,z+1/2'
'x+1/2,-y+1/2,z+1/2'
loop_
_atom_site_label
_atom_site_type_symbol
_atom_site_fract_x
_atom_site_fract_y
_atom_site_fract_z
Mg1 Mg 0.000 0.000 0.000
Mg2 Mg 0.000 0.115 0.564
Mg3 Mg 0.000 0.320 0.345
Mg4 Mg 0.000 0.349 0.761
Cd1 Cd 0.000 0.000 0.312
Cd2 Cd 0.000 0.500 0.244
Hg1 Hg 0.000 0.233 0.058
```

Output
M_tot (μB per formula unit): 0.00
E_form (eV/atom): -0.0916
D(E_F) (states/eV/cell): 6.13
Excess energy over the best structure of this formula in the dataset (eV per atom): 0.037



This record from Alexandria describes a geometry-optimized Mg8Cd2Hg3 structure. The functional is PBE.

Geometry as CIF:
```
data_Mg8Cd2Hg3
_symmetry_space_group_name_H-M 'C m m m'
_symmetry_Int_Tables_number 65
_symmetry_space_group_name_Hall '-C 2 2'
_cell_length_a 9.597
_cell_length_b 13.495
_cell_length_c 4.837
_cell_angle_alpha 90.00
_cell_angle_beta 90.00
_cell_angle_gamma 90.00
loop_
_atom_site_label
_atom_site_type_symbol
_atom_site_fract_x
_atom_site_fract_y
_atom_site_fract_z
Mg1 Mg 0.000 0.129 0.000
Mg2 Mg 0.000 0.371 0.000
Mg3 Mg 0.245 0.127 0.500
Cd1 Cd 0.000 0.249 0.500
Hg1 Hg 0.000 0.500 0.500
Hg2 Hg 0.239 0.000 0.000
```

Output
M_tot (μB per formula unit): 0.00
E_form (eV/atom): -0.0828
D(E_F) (states/eV/cell): 9.59



This record from Alexandria describes a geometry-optimized MgCd2Hg structure. The functional is PBE.

Geometry as CIF:
```
data_MgCd2Hg
_symmetry_space_group_name_H-M 'P 4/m m m'
_symmetry_Int_Tables_number 123
_symmetry_space_group_name_Hall '-P 4 2'
_cell_length_a 3.262
_cell_length_b 3.262
_cell_length_c 8.561
_cell_angle_alpha 90.00
_cell_angle_beta 90.00
_cell_angle_gamma 90.00
loop_
_atom_site_label
_atom_site_type_symbol
_atom_site_fract_x
_atom_site_fract_y
_atom_site_fract_z
Mg1 Mg 0.000 0.000 0.000
Cd1 Cd 0.500 0.500 0.240
Hg1 Hg 0.000 0.000 0.500
```

Output
M_tot (μB per formula unit): 0.00
E_form (eV/atom): -0.0289
D(E_F) (states/eV/cell): 1.69
Excess energy over the best structure of this formula in the dataset (eV per atom): 0.050



This record from Alexandria describes a geometry-optimized Mg6Cd12Hg structure. The functional is PBE.

Geometry as CIF:
```
data_Mg6Cd12Hg
_symmetry_space_group_name_H-M 'R -3'
_symmetry_Int_Tables_number 148
_symmetry_space_group_name_Hall '-R 3'
_cell_length_a 10.8763
_cell_length_b 10.8763
_cell_length_c 12.4738
_cell_angle_alpha 90.00
_cell_angle_beta 90.00
_cell_angle_gamma 120.00
loop_
_atom_site_label
_atom_site_type_symbol
_atom_site_fract_x
_atom_site_fract_y
_atom_site_fract_z
Mg1 Mg 0.0262 0.5880 0.2069
Cd1 Cd 0.0427 0.8525 0.3083
Cd2 Cd 0.0625 0.2130 0.9118
Hg1 Hg 0.0000 0.0000 0.5000
```

Output
M_tot (μB per formula unit): 0.00
E_form (eV/atom): -0.0497
D(E_F) (states/eV/cell): 15.51



This record from Alexandria describes a geometry-optimized Mg3Cd7Hg2 structure. The functional is PBE.

Geometry as CIF:
```
data_Mg3Cd7Hg2
_symmetry_space_group_name_H-M 'C m m m'
_symmetry_Int_Tables_number 65
_symmetry_space_group_name_Hall '-C 2 2'
_cell_length_a 5.181
_cell_length_b 34.747
_cell_length_c 3.082
_cell_angle_alpha 90.00
_cell_angle_beta 90.00
_cell_angle_gamma 90.00
loop_
_atom_site_label
_atom_site_type_symbol
_atom_site_fract_x
_atom_site_fract_y
_atom_site_fract_z
Mg1 Mg 0.000 0.000 0.000
Mg2 Mg 0.000 0.153 0.000
Cd1 Cd 0.000 0.075 0.500
Cd2 Cd 0.000 0.230 0.500
Cd3 Cd 0.000 0.409 0.000
Cd4 Cd 0.000 0.500 0.500
Hg1 Hg 0.000 0.323 0.500
```

Output
M_tot (μB per formula unit): 0.00
E_form (eV/atom): -0.0322
D(E_F) (states/eV/cell): 6.53



This record from Alexandria describes a geometry-optimized Mg4CdHg structure. The functional is PBE.

Geometry as CIF:
```
data_Mg4CdHg
_symmetry_space_group_name_H-M 'C m m m'
_symmetry_Int_Tables_number 65
_symmetry_space_group_name_Hall '-C 2 2'
_cell_length_a 6.679
_cell_length_b 6.687
_cell_length_c 6.760
_cell_angle_alpha 90.00
_cell_angle_beta 90.00
_cell_angle_gamma 90.00
loop_
_atom_site_label
_atom_site_type_symbol
_atom_site_fract_x
_atom_site_fract_y
_atom_site_fract_z
Mg1 Mg 0.250 0.250 0.245
Cd1 Cd 0.000 0.000 0.500
Hg1 Hg 0.000 0.500 0.000
```

Output
M_tot (μB per formula unit): 0.00
E_form (eV/atom): -0.0430
D(E_F) (states/eV/cell): 5.88
Excess energy over the best structure of this formula in the dataset (eV per atom): 0.048